{"formula": "ScCrN2", "functional": "PBE-GGA", "state": "optimized geometry", "e_form_raw_ev_per_atom": -0.3557, "e_tot_ev_per_fu": -34.0, "lattice_angstrom": [[0.000, 2.643, 2.643], [2.643, 0.000, 2.643], [2.643, 2.643, 0.000]], "species": ["Sc", "Cr", "N", "N"], "frac_coords": [[0.000, 0.000, 0.000], [0.500, 0.500, 0.500], [0.250, 0.250, 0.250], [0.750, 0.750, 0.750]]}